Material: Cr4TeOs
Method: DFT, PBE-GGA
State: relaxed

Computed properties:
Total magnetic moment (μB per formula unit): 0.000
Space group: F-43m, No. 216
E_form (uncorrected) (kcal/mol of atoms): 11.05

Cell: 4.8491 4.8491 4.8491 Å, 60.00 60.00 60.00°
Last column: nearest neighbours and their distance in Å.
Sites, in units of the cell vectors:
Cr  0.8798  0.3734  0.3734  6 Cr 2.39-2.46
Cr  0.3734  0.3734  0.8798  6 Cr 2.39-2.46
Cr  0.3734  0.8798  0.3734  6 Cr 2.39-2.46
Cr  0.3734  0.3734  0.3734  6 Cr 2.39-2.46
Te  0.0000  0.0000  0.0000  12 Cr 2.84, 4 Os 2.97
Os  0.7500  0.7500  0.7500  12 Cr 2.85, 4 Te 2.97